# CaZn12Ga7

A geometry-optimized CaZn12Ga7 structure (GGA-PBE, Alexandria via LeMat-Bulk).

Summary:
formation enthalpy at 0 K = 0.0006 eV/atom
calculated volume = 1063.3 Å³ per cell

a = 13.9805 Å, b = 13.9805 Å, c = 6.2816 Å
α = 90.00°, β = 90.00°, γ = 120.00°
Space group R-3m (No. 166, hexagonal axes)
Unique sites:
Ca (0.0000, 0.0000, 0.0000) (multiplicity 3)
Zn (0.0000, 0.2661, 0.0000) (multiplicity 18)
Zn (0.1064, 0.5532, 0.9521) (multiplicity 18)
Ga (0.0000, 0.0000, 0.5000) (multiplicity 3)
Ga (0.1080, 0.5540, 0.3648) (multiplicity 18)


# NaV2I6

A geometry-optimized NaV2I6 structure (GGA-PBE, Alexandria via LeMat-Bulk).

Summary:
calculated volume = 321.9 Å³ per cell
uncorrected formation energy = -0.6254 eV per atom

a = 7.2377 Å, b = 7.2377 Å, c = 7.0959 Å
α = 90.00°, β = 90.00°, γ = 120.00°
Space group P-31m (No. 162)
Unique sites:
Na (0.0000, 0.0000, 0.0000) (multiplicity 1)
V (0.3333, 0.6667, 0.5000) (multiplicity 2)
I (0.0000, 0.3647, 0.7238) (multiplicity 6)


# Dy4HoGa

A geometry-optimized Dy4HoGa structure (GGA-PBE, Alexandria via LeMat-Bulk).

Summary:
formation enthalpy at 0 K = -0.1015 eV/atom
calculated volume = 699.2 Å³ per cell

a = 8.742 Å, b = 13.490 Å, c = 6.242 Å
α = 90.00°, β = 108.23°, γ = 90.00°
Space group C2/c (No. 15)
Unique sites:
Dy (0.100, 0.182, 0.045) (multiplicity 8)
Dy (0.222, 0.385, 0.378) (multiplicity 8)
Ho (0.000, 0.405, 0.750) (multiplicity 4)
Ga (0.000, 0.000, 0.250) (multiplicity 4)


# GaBrF

A geometry-optimized GaBrF structure (GGA-PBE, Alexandria via LeMat-Bulk).

Summary:
calculated volume = 260.8 Å³ per cell
uncorrected formation energy = -1.4469 eV per atom

a = 7.309 Å, b = 9.398 Å, c = 5.256 Å
α = 90.00°, β = 133.76°, γ = 90.00°
Space group Cm (No. 8)
Unique sites:
Ga (0.000, 0.000, 0.000) (multiplicity 2)
Ga (0.170, 0.500, 0.344) (multiplicity 2)
Br (0.186, 0.202, 0.387) (multiplicity 4)
F (0.210, 0.500, 0.032) (multiplicity 2)
F (0.318, 0.000, 0.043) (multiplicity 2)


# Ir3Au

A geometry-optimized Ir3Au structure (GGA-PBE, Alexandria via LeMat-Bulk).

Summary:
formation enthalpy at 0 K = 0.7638 eV/atom
calculated volume = 127.3 Å³ per cell

a = 5.031 Å, b = 5.031 Å, c = 5.031 Å
α = 90.00°, β = 90.00°, γ = 90.00°
Space group Pm-3n (No. 223)
Unique sites:
Ir (0.000, 0.250, 0.500) (multiplicity 6)
Au (0.000, 0.000, 0.000) (multiplicity 2)


# YSbAs2

A geometry-optimized YSbAs2 structure (GGA-PBE, Alexandria via LeMat-Bulk).

Summary:
calculated volume = 306.9 Å³ per cell
uncorrected formation energy = -0.4285 eV per atom

a = 4.1164 Å, b = 4.1164 Å, c = 20.9144 Å
α = 90.00°, β = 90.00°, γ = 120.00°
Space group R3m (No. 160, hexagonal axes)
Unique sites:
Y (0.0000, 0.0000, 0.0000) (multiplicity 3)
Sb (0.0000, 0.0000, 0.2299) (multiplicity 3)
As (0.0000, 0.0000, 0.4863) (multiplicity 3)
As (0.0000, 0.0000, 0.7420) (multiplicity 3)


# CsGe2Au2

A geometry-optimized CsGe2Au2 structure (GGA-PBE, Alexandria via LeMat-Bulk).

Summary:
formation enthalpy at 0 K = 0.1275 eV/atom
calculated volume = 249.5 Å³ per cell

a = 8.934 Å, b = 8.934 Å, c = 3.126 Å
α = 90.00°, β = 90.00°, γ = 90.00°
Space group P4/mbm (No. 127)
Unique sites:
Cs (0.000, 0.000, 0.000) (multiplicity 2)
Ge (0.131, 0.369, 0.000) (multiplicity 4)
Au (0.134, 0.634, 0.500) (multiplicity 4)


# URhS3

A geometry-optimized URhS3 structure (GGA-PBE, Alexandria via LeMat-Bulk).

Summary:
calculated volume = 433.8 Å³ per cell
uncorrected formation energy = -0.9265 eV per atom

a = 4.278 Å, b = 20.053 Å, c = 5.057 Å
α = 90.00°, β = 90.00°, γ = 90.00°
Space group Ama2 (No. 40)
Unique sites:
U (0.250, 0.159, 0.000) (multiplicity 4)
Rh (0.250, 0.356, 0.006) (multiplicity 4)
S (0.250, 0.101, 0.469) (multiplicity 4)
S (0.250, 0.272, 0.685) (multiplicity 4)
S (0.250, 0.417, 0.406) (multiplicity 4)


Number 1: magnetic moment 0.00 Bohr magnetons per cell. Number 2: magnetic moment 5.00 Bohr magnetons per cell. Number 3: magnetic moment 0.00 Bohr magnetons per cell. Number 4: magnetic moment 0.00 Bohr magnetons per cell. Number 5: magnetic moment 0.00 Bohr magnetons per cell. Number 6: magnetic moment 0.00 Bohr magnetons per cell. Number 7: magnetic moment 0.00 Bohr magnetons per cell. Number 8: magnetic moment 4.09 Bohr magnetons per cell.